(1)
Below is a relaxed structure of Al4Zn2Ag, with properties calculated at the PBE level.

Properties
Energy relative to the elements = 9.6 kJ/mol of atoms

Cell: 2.880 2.880 16.780 Å, 85.08 85.08 60.00°
Element x y z (fractional)
Al 0.857 0.857 0.430
Al 0.143 0.143 0.570
Al 0.287 0.287 0.139
Al 0.713 0.713 0.861
Ag 0.000 0.000 0.000
Zn 0.235 0.235 0.294
Zn 0.765 0.765 0.706



(2)
Below is a relaxed structure of AlSiF2, with properties calculated at the PBE level.

Properties
Raw formation energy = -1.4243 eV/atom

Cell: 7.893 7.893 7.893 Å, 19.80 19.80 19.80°
Element x y z (fractional)
Si 0.000 0.000 0.000
Al 0.500 0.500 0.500
F 0.922 0.922 0.922
F 0.078 0.078 0.078



(3)
Below is a relaxed structure of CdSiW2, with properties calculated at the PBE level.

Properties
Raw formation energy = 0.3591 eV/atom

Cell: 2.787 2.787 9.512 Å, 90.00 90.00 108.54°
Element x y z (fractional)
Cd 0.000 0.000 0.487
Si 0.500 0.500 0.788
W 0.000 0.000 0.999
W 0.500 0.500 0.227



(4)
Below is a relaxed structure of Mn2HgCl, with properties calculated at the PBE level.

Properties
Raw formation energy = 0.3197 eV/atom

Cell: 4.971 4.971 3.090 Å, 90.00 90.00 101.41°
Element x y z (fractional)
Mn 0.500 0.500 0.000
Mn 0.000 0.000 0.000
Cl 0.500 0.000 0.500
Hg 0.000 0.500 0.500



We obtain Fermi-level density of states values of 3.45, 2.05, 1.80, 3.65 states/eV/f.u. for the records listed above, in that order.
We obtain VASP energy values of -19.676, -18.605, -30.808, -19.209 eV/f.u. for the records listed above, in that order.
We obtain distance to the lowest polymorph of the same formula values of 0.0, 0.0, 0.0, 254.5 meV/atom for the records listed above, in that order.